(1)
# NdSmTeO6

A relaxed structure of NdSmTeO6 (PBE-GGA, the Alexandria database).

Cell: 5.697 5.697 9.717 Å, 90.00 90.00 120.00°
Atoms (fractional coordinates):
Nd: 0.000 0.000 0.000
Nd: 0.000 0.000 0.500
Sm: 0.333 0.667 0.250
Sm: 0.667 0.333 0.750
Te: 0.333 0.667 0.750
Te: 0.667 0.333 0.250
O: 0.051 0.379 0.637
O: 0.051 0.671 0.863
O: 0.329 0.379 0.863
O: 0.329 0.949 0.637
O: 0.379 0.051 0.137
O: 0.379 0.329 0.363
O: 0.621 0.671 0.637
O: 0.621 0.949 0.863
O: 0.671 0.051 0.363
O: 0.671 0.621 0.137
O: 0.949 0.329 0.137
O: 0.949 0.621 0.363

Summary:
**Formation energy (no corrections)**: -2379 meV/atom

=====

(2)
# Ti10Cu7S20

A relaxed structure of Ti10Cu7S20 (PBE-GGA, the Alexandria database).

Cell: 6.668 6.668 29.760 Å, 98.25 98.25 29.89°
Atoms (fractional coordinates):
Ti: 0.000 0.000 0.000
Ti: 0.000 0.000 0.198
Ti: 0.000 0.000 0.797
Ti: 0.494 0.494 0.298
Ti: 0.496 0.496 0.099
Ti: 0.498 0.498 0.697
Ti: 0.498 0.498 0.898
Ti: 0.501 0.501 0.498
Ti: 0.994 0.994 0.598
Ti: 0.997 0.997 0.398
Cu: 0.208 0.208 0.613
Cu: 0.284 0.284 0.884
Cu: 0.287 0.287 0.482
Cu: 0.707 0.707 0.314
Cu: 0.784 0.784 0.987
Cu: 0.785 0.785 0.779
Cu: 0.787 0.787 0.184
S: 0.107 0.107 0.073
S: 0.111 0.111 0.672
S: 0.111 0.111 0.872
S: 0.113 0.113 0.272
S: 0.114 0.114 0.472
S: 0.379 0.379 0.823
S: 0.380 0.380 0.026
S: 0.381 0.381 0.225
S: 0.381 0.381 0.623
S: 0.385 0.385 0.423
S: 0.609 0.609 0.373
S: 0.611 0.611 0.972
S: 0.612 0.612 0.772
S: 0.613 0.613 0.172
S: 0.614 0.614 0.571
S: 0.880 0.880 0.924
S: 0.881 0.881 0.324
S: 0.882 0.882 0.524
S: 0.883 0.883 0.124
S: 0.885 0.885 0.722

Summary:
**Formation energy (no corrections)**: -1059 meV/atom

=====

(3)
# Nd8AlBi2

A relaxed structure of Nd8AlBi2 (PBE-GGA, the Alexandria database).

Cell: 10.386 10.386 6.896 Å, 103.18 103.18 29.78°
Atoms (fractional coordinates):
Nd: 0.014 0.014 0.274
Nd: 0.219 0.219 0.832
Nd: 0.345 0.345 0.475
Nd: 0.411 0.411 0.018
Nd: 0.589 0.589 0.982
Nd: 0.655 0.655 0.525
Nd: 0.781 0.781 0.168
Nd: 0.986 0.986 0.726
Al: 0.500 0.500 0.500
Bi: 0.177 0.177 0.270
Bi: 0.823 0.823 0.730

Summary:
**Calculated total energy**: -53.16 eV per cell

=====

(4)
# ScNi

A relaxed structure of ScNi (PBE-GGA, the Alexandria database).

Cell: 9.520 3.331 7.025 Å, 90.00 115.92 90.00°
Atoms (fractional coordinates):
Sc: 0.000 0.000 0.000
Sc: 0.128 0.500 0.713
Sc: 0.333 0.500 0.339
Sc: 0.500 0.500 0.000
Sc: 0.628 0.000 0.713
Sc: 0.833 0.000 0.339
Ni: 0.057 0.500 0.327
Ni: 0.291 0.000 0.015
Ni: 0.321 0.000 0.648
Ni: 0.557 0.000 0.327
Ni: 0.791 0.500 0.015
Ni: 0.821 0.500 0.648

Summary:
**Calculated total energy**: -77.44 eV per cell

=====

(5)
# Mn2CoMo

A relaxed structure of Mn2CoMo (PBE-GGA, the Alexandria database).

Cell: 2.610 2.610 25.421 Å, 90.00 90.00 120.00°
Atoms (fractional coordinates):
Mn: 0.000 0.000 0.000
Mn: 0.000 0.000 0.258
Mn: 0.333 0.667 0.667
Mn: 0.333 0.667 0.924
Mn: 0.667 0.333 0.333
Mn: 0.667 0.333 0.591
Co: 0.000 0.000 0.746
Co: 0.333 0.667 0.412
Co: 0.667 0.333 0.079
Mo: 0.000 0.000 0.499
Mo: 0.333 0.667 0.166
Mo: 0.667 0.333 0.832

Summary:
**Calculated total energy**: -106.05 eV per cell

=====

(6)
# NaScNb2Pb

A relaxed structure of NaScNb2Pb (PBE-GGA, the Alexandria database).

Cell: 4.786 4.786 5.086 Å, 90.00 90.00 90.00°
Atoms (fractional coordinates):
Na: 0.000 0.000 0.000
Sc: 0.500 0.500 0.500
Nb: 0.000 0.500 0.000
Nb: 0.500 0.000 0.000
Pb: 0.000 0.000 0.500

Summary:
**Calculated total energy**: -23.81 eV per cell

=====

(7)
# YSn2I8

A relaxed structure of YSn2I8 (PBE-GGA, the Alexandria database).

Cell: 8.943 8.943 8.000 Å, 101.88 101.88 81.81°
Atoms (fractional coordinates):
Y: 0.000 0.000 0.000
Sn: 0.175 0.175 0.628
Sn: 0.825 0.825 0.372
I: 0.110 0.744 0.209
I: 0.213 0.213 0.259
I: 0.256 0.890 0.791
I: 0.379 0.379 0.834
I: 0.621 0.621 0.166
I: 0.744 0.110 0.209
I: 0.787 0.787 0.741
I: 0.890 0.256 0.791

Summary:
**Formation energy (no corrections)**: -700 meV/atom

=====

(8)
# Ti2AlW

A relaxed structure of Ti2AlW (PBE-GGA, the Alexandria database).

Cell: 3.259 3.259 6.105 Å, 90.00 90.00 90.00°
Atoms (fractional coordinates):
Ti: 0.000 0.000 0.238
Ti: 0.000 0.000 0.762
Al: 0.500 0.500 0.500
W: 0.500 0.500 0.000

Summary:
**Calculated total energy**: -33.61 eV per cell

=====

(9)
# ScSi2Tc

A relaxed structure of ScSi2Tc (PBE-GGA, the Alexandria database).

Cell: 3.058 3.058 6.604 Å, 90.00 90.00 90.00°
Atoms (fractional coordinates):
Sc: 0.000 0.000 0.000
Si: 0.500 0.500 0.297
Si: 0.500 0.500 0.703
Tc: 0.000 0.000 0.500

Summary:
**ΔE to the lowest computed polymorph**: 0.195 eV/atom
**Formation energy (no corrections)**: -512 meV/atom

=====

(10)
# K3Ac2NdO6

A relaxed structure of K3Ac2NdO6 (PBE-GGA, the Alexandria database).

Cell: 6.569 6.569 6.711 Å, 99.35 99.35 120.03°
Atoms (fractional coordinates):
K: 0.000 0.000 0.000
K: 0.338 0.662 0.000
K: 0.662 0.338 0.000
Ac: 0.167 0.833 0.500
Ac: 0.833 0.167 0.500
Nd: 0.500 0.500 0.500
O: 0.114 0.436 0.306
O: 0.242 0.242 0.693
O: 0.436 0.114 0.306
O: 0.564 0.886 0.694
O: 0.758 0.758 0.307
O: 0.886 0.564 0.694

Summary:
**Formation energy (no corrections)**: -2574 meV/atom

=====

(11)
# Zn2Os

A relaxed structure of Zn2Os (PBE-GGA, the Alexandria database).

Cell: 2.615 4.036 8.107 Å, 90.00 90.00 90.00°
Atoms (fractional coordinates):
Zn: 0.000 0.000 0.163
Zn: 0.000 0.000 0.837
Zn: 0.500 0.500 0.337
Zn: 0.500 0.500 0.663
Os: 0.000 0.000 0.500
Os: 0.500 0.500 0.000

Summary:
**Calculated total energy**: -26.28 eV per cell

=====

(12)
# KAlSiO4

A relaxed structure of KAlSiO4 (PBE-GGA, the Alexandria database).

Cell: 5.228 5.228 8.859 Å, 90.00 90.00 120.00°
Atoms (fractional coordinates):
K: 0.000 0.000 0.000
K: 0.000 0.000 0.500
Al: 0.333 0.667 0.306
Al: 0.667 0.333 0.806
Si: 0.333 0.667 0.688
Si: 0.667 0.333 0.188
O: 0.014 0.396 0.747
O: 0.333 0.667 0.504
O: 0.382 0.986 0.747
O: 0.396 0.382 0.247
O: 0.604 0.618 0.747
O: 0.618 0.014 0.247
O: 0.667 0.333 0.004
O: 0.986 0.604 0.247

Summary:
**ΔE to the lowest computed polymorph**: 0.001 eV/atom
**Formation energy (no corrections)**: -2790 meV/atom